# 1
# Be2CrCl GGA-PBEsol relaxed
data_Be2CrCl
_space_group_name_H-M_alt 'P 4/m m m'
_space_group_IT_number 123
_space_group_name_Hall '-P 4 2'
_cell_length_a 4.006
_cell_length_b 4.006
_cell_length_c 2.956
_cell_angle_alpha 90.00
_cell_angle_beta 90.00
_cell_angle_gamma 90.00
loop_
_atom_site_label
_atom_site_fract_x
_atom_site_fract_y
_atom_site_fract_z
Be1 0.000 0.500 0.000
Cr1 0.000 0.000 0.500
Cl1 0.500 0.500 0.500
# Energy above the lowest structure with this stoichiometry: 0.264 eV/atom
# ΔE_f (raw): 667.1 meV per atom
# DFT total energy: -0.3231 Ry per atom


# 2
# Nb3Pt GGA-PBEsol relaxed
data_Nb3Pt
_space_group_name_H-M_alt 'P m -3 n'
_space_group_IT_number 223
_space_group_name_Hall '-P 4n 2 3'
_cell_length_a 5.144
_cell_length_b 5.144
_cell_length_c 5.144
_cell_angle_alpha 90.00
_cell_angle_beta 90.00
_cell_angle_gamma 90.00
loop_
_atom_site_label
_atom_site_fract_x
_atom_site_fract_y
_atom_site_fract_z
Nb1 0.000 0.250 0.500
Pt1 0.000 0.000 0.000
# DFT total energy: -0.7538 Ry per atom


# 3
# SrMg3O GGA-PBEsol relaxed
data_SrMg3O
_space_group_name_H-M_alt 'P m -3 m'
_space_group_IT_number 221
_space_group_name_Hall '-P 4 2 3'
_cell_length_a 4.762
_cell_length_b 4.762
_cell_length_c 4.762
_cell_angle_alpha 90.00
_cell_angle_beta 90.00
_cell_angle_gamma 90.00
loop_
_atom_site_label
_atom_site_fract_x
_atom_site_fract_y
_atom_site_fract_z
Sr1 0.000 0.000 0.000
Mg1 0.000 0.500 0.500
O1 0.500 0.500 0.500
# ΔE_f (raw): -501.0 meV per atom
# DFT total energy: -0.2168 Ry per atom


# 4
# ZnNiOs GGA-PBEsol relaxed
data_ZnNiOs
_space_group_name_H-M_alt 'I 4 m m'
_space_group_IT_number 107
_space_group_name_Hall 'I 4 -2'
_cell_length_a 2.608
_cell_length_b 2.608
_cell_length_c 11.069
_cell_angle_alpha 90.00
_cell_angle_beta 90.00
_cell_angle_gamma 90.00
loop_
_atom_site_label
_atom_site_fract_x
_atom_site_fract_y
_atom_site_fract_z
Zn1 0.000 0.000 0.000
Ni1 0.000 0.000 0.661
Os1 0.000 0.000 0.318
# DFT total energy: -0.4825 Ry per atom


# 5
# BaSr2Zn GGA-PBEsol relaxed
data_BaSr2Zn
_space_group_name_H-M_alt 'C 1 m 1'
_space_group_IT_number 8
_cell_length_a 14.513
_cell_length_b 4.072
_cell_length_c 6.129
_cell_angle_alpha 90.00
_cell_angle_beta 114.97
_cell_angle_gamma 90.00
loop_
_space_group_symop_operation_xyz
'x,y,z'
'x,-y,z'
'x+1/2,y+1/2,z'
'x+1/2,-y+1/2,z'
loop_
_atom_site_label
_atom_site_fract_x
_atom_site_fract_y
_atom_site_fract_z
Ba1 0.000 0.000 0.000
Sr1 0.193 0.000 0.693
Sr2 0.386 0.000 0.386
Zn1 0.197 0.500 0.199
# DFT total energy: -0.1359 Ry per atom


# 6
# CaRuW2 GGA-PBEsol relaxed
data_CaRuW2
_space_group_name_H-M_alt 'P 4 m m'
_space_group_IT_number 99
_cell_length_a 3.144
_cell_length_b 3.144
_cell_length_c 7.279
_cell_angle_alpha 90.00
_cell_angle_beta 90.00
_cell_angle_gamma 90.00
loop_
_space_group_symop_operation_xyz
'x,y,z'
'-y,x,z'
'-x,-y,z'
'y,-x,z'
'-x,y,z'
'y,x,z'
'x,-y,z'
'-y,-x,z'
loop_
_atom_site_label
_atom_site_fract_x
_atom_site_fract_y
_atom_site_fract_z
Ca1 0.000 0.000 0.000
Ru1 0.500 0.500 0.293
W1 0.000 0.000 0.484
W2 0.500 0.500 0.689
# Energy above the lowest structure with this stoichiometry: 0.000 eV/atom
# DFT total energy: -0.6971 Ry per atom


no.,total magnetic moment (μB/cell)
1,2.50
2,0.00
3,0.00
4,0.00
5,0.00
6,0.00